(1)
This record from the Alexandria database describes Ti4Nb3Al9 at its PBEsol-relaxed geometry. The functional is SCAN.

Output
- Total magnetic moment: 0.000 μB/f.u.
- Calculated volume: 15.95 Å³/atom
- Energy relative to the elements: -0.40 eV per atom
- DOS(E_F): 0.62 states/eV per atom

Cell: 5.603 5.603 8.131 Å, 90.00 90.00 90.00°
Fractional positions:
Ti 0.000 0.000 0.000
Ti 0.000 0.500 0.500
Ti 0.500 0.000 0.500
Ti 0.500 0.500 0.000
Nb 0.000 0.000 0.500
Nb 0.000 0.500 0.000
Nb 0.500 0.000 0.000
Al 0.250 0.250 0.250
Al 0.250 0.250 0.750
Al 0.250 0.750 0.250
Al 0.250 0.750 0.750
Al 0.500 0.500 0.500
Al 0.750 0.250 0.250
Al 0.750 0.250 0.750
Al 0.750 0.750 0.250
Al 0.750 0.750 0.750



(2)
This record from the Alexandria database describes NbAl2Tl2 at its PBEsol-relaxed geometry. The functional is SCAN.

Output
- Total magnetic moment: 1.427 μB/f.u.
- Calculated volume: 21.79 Å³/atom
- Energy relative to the elements: 0.41 eV per atom
- DOS(E_F): 0.52 states/eV per atom

Cell: 4.661 4.661 5.384 Å, 100.11 100.11 72.60°
Fractional positions:
Nb 0.000 0.000 0.000
Al 0.331 0.331 0.898
Al 0.669 0.669 0.102
Tl 0.249 0.751 0.500
Tl 0.751 0.249 0.500



(3)
This record from the Alexandria database describes Nb3AlTl at its PBEsol-relaxed geometry. The functional is SCAN.

Output
- Total magnetic moment: 0.835 μB/f.u.
- Calculated volume: 20.82 Å³/atom
- Energy relative to the elements: 0.98 eV per atom
- DOS(E_F): 0.77 states/eV per atom

Cell: 4.704 4.704 4.704 Å, 90.00 90.00 90.00°
Fractional positions:
Nb 0.000 0.000 0.500
Nb 0.000 0.500 0.000
Nb 0.500 0.000 0.000
Al 0.000 0.000 0.000
Tl 0.500 0.500 0.500



(4)
This record from the Alexandria database describes U6Nb4Al43 at its PBEsol-relaxed geometry. The functional is SCAN.

Output
- Total magnetic moment: 0.012 μB/f.u.
- Calculated volume: 17.22 Å³/atom
- Energy relative to the elements: -0.18 eV per atom
- DOS(E_F): 0.72 states/eV per atom

Cell: 11.102 11.102 17.101 Å, 90.00 90.00 120.00°
Fractional positions:
U 0.000 0.488 0.073
U 0.000 0.488 0.427
U 0.000 0.512 0.573
U 0.000 0.512 0.927
U 0.488 0.000 0.073
U 0.488 0.000 0.427
U 0.488 0.488 0.573
U 0.488 0.488 0.927
U 0.512 0.000 0.573
U 0.512 0.000 0.927
U 0.512 0.512 0.073
U 0.512 0.512 0.427
Nb 0.000 0.000 0.000
Nb 0.000 0.000 0.500
Nb 0.000 0.274 0.250
Nb 0.000 0.726 0.750
Nb 0.274 0.000 0.250
Nb 0.274 0.274 0.750
Nb 0.726 0.000 0.750
Nb 0.726 0.726 0.250
Al 0.000 0.150 0.750
Al 0.000 0.160 0.115
Al 0.000 0.160 0.385
Al 0.000 0.252 0.530
Al 0.000 0.252 0.970
Al 0.000 0.748 0.030
Al 0.000 0.748 0.470
Al 0.000 0.840 0.615
Al 0.000 0.840 0.885
Al 0.000 0.850 0.250
Al 0.141 0.553 0.250
Al 0.141 0.588 0.750
Al 0.150 0.000 0.750
Al 0.150 0.150 0.250
Al 0.160 0.000 0.115
Al 0.160 0.000 0.385
Al 0.160 0.160 0.615
Al 0.160 0.160 0.885
Al 0.163 0.397 0.660
Al 0.163 0.397 0.840
Al 0.163 0.766 0.160
Al 0.163 0.766 0.340
Al 0.234 0.397 0.160
Al 0.234 0.397 0.340
Al 0.234 0.837 0.660
Al 0.234 0.837 0.840
Al 0.245 0.491 0.000
Al 0.245 0.491 0.500
Al 0.245 0.755 0.000
Al 0.245 0.755 0.500
Al 0.252 0.000 0.530
Al 0.252 0.000 0.970
Al 0.252 0.252 0.030
Al 0.252 0.252 0.470
Al 0.333 0.667 0.127
Al 0.333 0.667 0.373
Al 0.333 0.667 0.627
Al 0.333 0.667 0.873
Al 0.397 0.163 0.660
Al 0.397 0.163 0.840
Al 0.397 0.234 0.160
Al 0.397 0.234 0.340
Al 0.412 0.553 0.750
Al 0.412 0.859 0.250
Al 0.447 0.588 0.250
Al 0.447 0.859 0.750
Al 0.491 0.245 0.000
Al 0.491 0.245 0.500
Al 0.509 0.755 0.000
Al 0.509 0.755 0.500
Al 0.553 0.141 0.250
Al 0.553 0.412 0.750
Al 0.588 0.141 0.750
Al 0.588 0.447 0.250
Al 0.603 0.766 0.660
Al 0.603 0.766 0.840
Al 0.603 0.837 0.160
Al 0.603 0.837 0.340
Al 0.667 0.333 0.127
Al 0.667 0.333 0.373
Al 0.667 0.333 0.627
Al 0.667 0.333 0.873
Al 0.748 0.000 0.030
Al 0.748 0.000 0.470
Al 0.748 0.748 0.530
Al 0.748 0.748 0.970
Al 0.755 0.245 0.000
Al 0.755 0.245 0.500
Al 0.755 0.509 0.000
Al 0.755 0.509 0.500
Al 0.766 0.163 0.160
Al 0.766 0.163 0.340
Al 0.766 0.603 0.660
Al 0.766 0.603 0.840
Al 0.837 0.234 0.660
Al 0.837 0.234 0.840
Al 0.837 0.603 0.160
Al 0.837 0.603 0.340
Al 0.840 0.000 0.615
Al 0.840 0.000 0.885
Al 0.840 0.840 0.115
Al 0.840 0.840 0.385
Al 0.850 0.000 0.250
Al 0.850 0.850 0.750
Al 0.859 0.412 0.250
Al 0.859 0.447 0.750